The following is a PBE with a Hubbard U calculation of an optimized crystal structure of Rb3Co2F7, from Alexandria via LeMat-Bulk.

N(E_F)	0.00	states/eV/f.u.
DFT total energy	-4.620	eV per atom

Lattice parameters (Å, degrees): 11.440 11.440 4.094 90.00 90.00 158.23
Positions (direct):
Rb  0.000  0.000  0.000
Rb  0.181  0.819  0.000
Rb  0.819  0.181  0.000
Co  0.407  0.593  0.500
Co  0.593  0.407  0.500
F  0.093  0.907  0.500
F  0.318  0.682  0.500
F  0.408  0.592  0.000
F  0.500  0.500  0.500
F  0.592  0.408  0.000
F  0.682  0.318  0.500
F  0.907  0.093  0.500